No. 1
The following is a PBE-GGA calculation of crystalline Mg2BeSi2Pt5 at its relaxed geometry, from the Alexandria database.

## Properties
formation energy from raw total energies	-635.0	kJ/mol of formula units
size of the total moment	0.00	μB per formula unit

Cell: 9.8463 9.8463 3.1347 Å, 90.00 90.00 90.00°
Last column: nearest neighbours and their distance in Å.
Sites, in units of the cell vectors:
Mg: 0.1718 0.3282 0.0000  1 Si 2.66, 6 Pt 2.86-2.90
Mg: 0.3282 0.8282 0.0000  1 Si 2.66, 6 Pt 2.86-2.90
Mg: 0.6718 0.1718 0.0000  1 Si 2.66, 6 Pt 2.86-2.90
Mg: 0.8282 0.6718 0.0000  1 Si 2.66, 6 Pt 2.86-2.90
Be: 0.0000 0.0000 0.0000  8 Pt 2.55
Be: 0.5000 0.5000 0.0000  8 Pt 2.55
Si: 0.1371 0.6371 0.0000  6 Pt 2.44-2.47, 1 Mg 2.66
Si: 0.3629 0.1371 0.0000  6 Pt 2.44-2.47, 1 Mg 2.66
Si: 0.6371 0.8629 0.0000  6 Pt 2.44-2.47, 1 Mg 2.66
Si: 0.8629 0.3629 0.0000  6 Pt 2.44-2.47, 1 Mg 2.66
Pt: 0.0000 0.5000 0.5000  4 Si 2.47
Pt: 0.0395 0.8001 0.5000  2 Si 2.44, 2 Be 2.55
Pt: 0.1999 0.0395 0.5000  2 Si 2.44, 2 Be 2.55
Pt: 0.3001 0.5395 0.5000  2 Si 2.44, 2 Be 2.55
Pt: 0.4605 0.3001 0.5000  2 Si 2.44, 2 Be 2.55
Pt: 0.5000 0.0000 0.5000  4 Si 2.47
Pt: 0.5395 0.6999 0.5000  2 Si 2.44, 2 Be 2.55
Pt: 0.6999 0.4605 0.5000  2 Si 2.44, 2 Be 2.55
Pt: 0.8001 0.9605 0.5000  2 Si 2.44, 2 Be 2.55
Pt: 0.9605 0.1999 0.5000  2 Si 2.44, 2 Be 2.55

=====

No. 2
The following is a PBE-GGA calculation of crystalline Sm2MgBePt6 at its relaxed geometry, from the Alexandria database.

## Properties
formation energy from the elements	-0.82	eV per atom
size of the total moment	0.00	μB per formula unit

Cell: 7.5616 7.5616 7.5616 Å, 44.14 44.14 44.14°
Last column: nearest neighbours and their distance in Å.
Sites, in units of the cell vectors:
Sm: 0.2124 0.2124 0.2124  9 Pt 3.04-3.39
Sm: 0.7876 0.7876 0.7876  9 Pt 3.04-3.39
Mg: 0.5000 0.5000 0.5000  6 Pt 2.57
Be: 0.0000 0.0000 0.0000  6 Pt 2.19
Pt: 0.2395 0.2395 0.7259  1 Be 2.19
Pt: 0.2395 0.7259 0.2395  1 Be 2.19
Pt: 0.2741 0.7605 0.7605  1 Be 2.19
Pt: 0.7259 0.2395 0.2395  1 Be 2.19
Pt: 0.7605 0.2741 0.7605  1 Be 2.19
Pt: 0.7605 0.7605 0.2741  1 Be 2.19

=====

No. 3
The following is a PBE-GGA calculation of crystalline SrMg2BePt at its relaxed geometry, from the Alexandria database.

## Properties
formation energy from the elements	-0.28	eV per atom
size of the total moment	0.00	μB per formula unit

Cell: 5.0870 5.0870 4.5102 Å, 90.00 90.00 90.00°
Last column: nearest neighbours and their distance in Å.
Sites, in units of the cell vectors:
Sr: 0.0000 0.0000 0.0000  8 Mg 3.40, 4 Be 3.60
Mg: 0.0000 0.5000 0.5000  2 Pt 2.54
Mg: 0.5000 0.0000 0.5000  2 Pt 2.54
Be: 0.5000 0.5000 0.0000  2 Pt 2.26
Pt: 0.5000 0.5000 0.5000  2 Be 2.26

=====

No. 4
The following is a PBE-GGA calculation of crystalline Tb2MgBePt6 at its relaxed geometry, from the Alexandria database.

## Properties
formation energy from the elements	-0.83	eV per atom
size of the total moment	0.00	μB per formula unit

Cell: 7.5651 7.5651 7.5651 Å, 43.72 43.72 43.72°
Last column: nearest neighbours and their distance in Å.
Sites, in units of the cell vectors:
Tb: 0.2107 0.2107 0.2107  9 Pt 3.02-3.33, 3 Mg 3.38
Tb: 0.7893 0.7893 0.7893  9 Pt 3.02-3.33, 3 Mg 3.38
Mg: 0.5000 0.5000 0.5000  6 Pt 2.55
Be: 0.0000 0.0000 0.0000  6 Pt 2.19
Pt: 0.2399 0.2399 0.7293  1 Be 2.19
Pt: 0.2399 0.7293 0.2399  1 Be 2.19
Pt: 0.2707 0.7601 0.7601  1 Be 2.19
Pt: 0.7293 0.2399 0.2399  1 Be 2.19
Pt: 0.7601 0.2707 0.7601  1 Be 2.19
Pt: 0.7601 0.7601 0.2707  1 Be 2.19

=====

No. 5
The following is a PBE-GGA calculation of crystalline Tb2MgBe3Pt4 at its relaxed geometry, from the Alexandria database.

## Properties
formation energy from the elements	-0.89	eV per atom
size of the total moment	0.00	μB per formula unit

Cell: 4.0230 4.0230 10.2272 Å, 90.00 90.00 90.00°
Last column: nearest neighbours and their distance in Å.
Sites, in units of the cell vectors:
Tb: 0.0000 0.5000 0.2343  8 Pt 3.06-3.13, 6 Be 3.09-3.38, 2 Mg 3.38
Tb: 0.5000 0.0000 0.7657  8 Pt 3.06-3.13, 6 Be 3.09-3.38, 2 Mg 3.38
Mg: 0.0000 0.0000 0.5000  4 Pt 2.57, 4 Be 2.84
Be: 0.0000 0.5000 0.8848  5 Pt 2.33
Be: 0.5000 0.0000 0.1152  5 Pt 2.33
Be: 0.5000 0.5000 0.5000  4 Pt 2.57, 4 Mg 2.84
Pt: 0.0000 0.0000 0.0000  4 Be 2.33
Pt: 0.0000 0.5000 0.6567  3 Be 2.33-2.57, 2 Mg 2.57
Pt: 0.5000 0.0000 0.3433  3 Be 2.33-2.57, 2 Mg 2.57
Pt: 0.5000 0.5000 0.0000  4 Be 2.33

=====

No. 6
The following is a PBE-GGA calculation of crystalline Th2MgBe4Pt3 at its relaxed geometry, from the Alexandria database.

## Properties
formation energy from the elements	-0.63	eV per atom
size of the total moment	0.00	μB per formula unit

Cell: 4.0759 4.0759 10.1058 Å, 90.00 90.00 90.00°
Last column: nearest neighbours and their distance in Å.
Sites, in units of the cell vectors:
Th: 0.0000 0.5000 0.2333  6 Pt 3.10-3.38, 8 Be 3.12-3.13, 2 Mg 3.38
Th: 0.5000 0.0000 0.7667  6 Pt 3.10-3.38, 8 Be 3.12-3.13, 2 Mg 3.38
Mg: 0.0000 0.0000 0.5000  4 Be 2.52
Be: 0.0000 0.0000 0.0000  4 Pt 2.37
Be: 0.0000 0.5000 0.6460  3 Pt 2.37-2.52, 2 Mg 2.52
Be: 0.5000 0.0000 0.3540  3 Pt 2.37-2.52, 2 Mg 2.52
Be: 0.5000 0.5000 0.0000  4 Pt 2.37
Pt: 0.0000 0.5000 0.8806  5 Be 2.37
Pt: 0.5000 0.0000 0.1194  5 Be 2.37
Pt: 0.5000 0.5000 0.5000  4 Be 2.52

=====

No. 7
The following is a PBE-GGA calculation of crystalline Tm2MgBe3Pt4 at its relaxed geometry, from the Alexandria database.

## Properties
formation energy from the elements	-0.90	eV per atom
size of the total moment	0.00	μB per formula unit

Cell: 3.9871 3.9871 10.1873 Å, 90.00 90.00 90.00°
Last column: nearest neighbours and their distance in Å.
Sites, in units of the cell vectors:
Tm: 0.0000 0.5000 0.2331  8 Pt 3.03-3.10, 6 Be 3.06-3.37, 2 Mg 3.37
Tm: 0.5000 0.0000 0.7669  8 Pt 3.03-3.10, 6 Be 3.06-3.37, 2 Mg 3.37
Mg: 0.0000 0.0000 0.5000  4 Pt 2.57, 4 Be 2.82
Be: 0.0000 0.5000 0.8837  5 Pt 2.29-2.32
Be: 0.5000 0.0000 0.1163  5 Pt 2.29-2.32
Be: 0.5000 0.5000 0.5000  4 Pt 2.57, 4 Mg 2.82
Pt: 0.0000 0.0000 0.0000  4 Be 2.32
Pt: 0.0000 0.5000 0.6587  3 Be 2.29-2.57, 2 Mg 2.57
Pt: 0.5000 0.0000 0.3413  3 Be 2.29-2.57, 2 Mg 2.57
Pt: 0.5000 0.5000 0.0000  4 Be 2.32

=====

No. 8
The following is a PBE-GGA calculation of crystalline Mg2BeVPt at its relaxed geometry, from the Alexandria database.

## Properties
formation energy from the elements	1.14	eV per atom
size of the total moment	2.68	μB per formula unit

Cell: 5.0712 5.0712 4.5577 Å, 90.00 90.00 90.00°
Last column: nearest neighbours and their distance in Å.
Sites, in units of the cell vectors:
Mg: 0.0000 0.5000 0.0000  2 V 2.54
Mg: 0.5000 0.0000 0.0000  2 V 2.54
Be: 0.0000 0.0000 0.5000  8 Mg 3.41, 4 Pt 3.59
V: 0.5000 0.5000 0.0000  2 Pt 2.28, 4 Mg 2.54
Pt: 0.5000 0.5000 0.5000  2 V 2.28